A plane-wave DFT calculation with PBE was carried out for an optimized crystal structure of K2TlH6Au2.

Output
- E_tot (eV per atom) = -2.835
- ρ (g/cm3) = 6.1
- Fermi-level density of states (states/eV per cell) = 1.9
- magnetization (μB/f.u.) = 0.00

Unit cell a=5.6446 b=6.1748 c=6.8921 alpha=115.53 beta=90.00 gamma=117.20
Positions (direct):
K  0.7039  0.4078  0.1889
K  0.2961  0.5922  0.8111
Tl  0.5000  0.0000  0.5000
H  0.7782  0.5563  0.6585
H  0.1427  0.8521  0.2006
H  0.2907  0.1479  0.7994
H  0.8573  0.1479  0.7994
H  0.7093  0.8521  0.2006
H  0.2218  0.4437  0.3415
Au  0.9520  0.9041  0.7464
Au  0.0480  0.0959  0.2536